Material: Nb3CrB
Method: DFT, PBE
State: relaxed

a = 4.3317 Å, b = 4.3317 Å, c = 4.3317 Å
α = 90.00°, β = 90.00°, γ = 90.00°
Closest atoms and distances in Å follow each position.
Space group Pm-3m (No. 221)
Unique sites:
Nb 0.0000 0.0000 0.5000  2 B 2.17
Cr 0.5000 0.5000 0.5000  12 Nb 3.06
B 0.0000 0.0000 0.0000  6 Nb 2.17

Computed properties:
Total moment (μB per cell): 0.00
ΔH_f (0 K) (eV per atom): 0.37
D(E_F) (states/eV per cell): 9.54
Distance to the lowest polymorph of the same formula (meV/atom): 0

Material: BeTl2P
Method: DFT, PBE
State: relaxed

a = 3.6597 Å, b = 4.2094 Å, c = 13.5019 Å
α = 90.00°, β = 90.00°, γ = 90.00°
Closest atoms and distances in Å follow each position.
Space group Imm2 (No. 44)
Unique sites:
Be 0.0000 0.0000 0.0000  2 P 2.04
Tl 0.0000 0.0000 0.3992  2 P 3.08, 4 Be 3.10
Tl 0.0000 0.5000 0.1834  4 P 3.21, 2 Be 3.25
P 0.0000 0.5000 0.5663  2 Be 2.04

Computed properties:
Total moment (μB per cell): 0.00
ΔH_f (0 K) (eV per atom): 0.14
D(E_F) (states/eV per cell): 1.42
Distance to the lowest polymorph of the same formula (meV/atom): 10

Material: YCuRe2
Method: DFT, PBE
State: relaxed

a = 5.4218 Å, b = 9.6622 Å, c = 2.8061 Å
α = 90.00°, β = 113.79°, γ = 90.00°
Closest atoms and distances in Å follow each position.
Space group C2/m (No. 12)
Unique sites:
Y 0.0000 0.0000 0.0000  4 Cu 2.71-3.01, 2 Y 2.81, 4 Re 2.85
Cu 0.0000 0.5000 0.0000  4 Y 2.71-3.01, 2 Cu 2.81, 4 Re 2.85
Re 0.2500 0.2500 0.5000  6 Re 2.71-3.01, 2 Cu 2.85, 2 Y 2.85

Computed properties:
Total moment (μB per cell): 0.00
ΔH_f (0 K) (eV per atom): 0.43
D(E_F) (states/eV per cell): 5.53
Distance to the lowest polymorph of the same formula (meV/atom): 347

Material: Pr2MnSi4Ir3
Method: DFT, PBE
State: relaxed

a = 4.1745 Å, b = 4.1745 Å, c = 10.0773 Å
α = 90.00°, β = 90.00°, γ = 90.00°
Closest atoms and distances in Å follow each position.
Space group P-4m2 (No. 115)
Unique sites:
Pr 0.0000 0.5000 0.2459  6 Ir 3.20-3.30, 8 Si 3.20-3.24, 2 Mn 3.30
Mn 0.0000 0.0000 0.5000  4 Si 2.47
Si 0.0000 0.0000 0.0000  4 Ir 2.43
Si 0.0000 0.5000 0.6311  3 Ir 2.47, 2 Mn 2.47
Si 0.5000 0.5000 0.0000  4 Ir 2.43
Ir 0.0000 0.5000 0.8758  5 Si 2.43-2.47
Ir 0.5000 0.5000 0.5000  4 Si 2.47

Computed properties:
Total moment (μB per cell): 2.45
D(E_F) (states/eV per cell): 7.27
Formation energy without anion corrections (eV/atom): -0.8746